[1]
Crystalline NiSbAsI2 at its relaxed geometry. Source: Alexandria, functional PBE.

As for the total energy: -3.007 eV per atom. Its energy relative to the lowest polymorph listed for this composition is 0.000 eV per atom. The total magnetization is 0.00 μB/atom. The calculation puts the formation energy (no corrections) at 2.6 eV/f.u. As for the calculated volume: 26.819 A^3/atom.

The space group is P4/mmm (No. 123) and the conventional cell measures 5.150, 5.150 and 5.056 Å, with angles of 90.00, 90.00 and 90.00 degrees. Symmetry generates all atoms from Ni at (0.000, 0.000, 0.000), Sb at (0.000, 0.000, 0.500), As at (0.500, 0.500, 0.500) and I at (0.000, 0.500, 0.000).

[2]
Crystalline ScNi2AsI at its relaxed geometry. Source: Alexandria, functional PBE.

As for the total energy: -4.095 eV per atom. The total magnetization is 0.00 μB/atom. The calculation puts the formation energy (no corrections) at 3.6 eV/f.u. As for the calculated volume: 23.498 A^3/atom.

The space group is P4/mmm (No. 123) and the conventional cell measures 4.510, 4.510 and 5.776 Å, with angles of 90.00, 90.00 and 90.00 degrees. Symmetry generates all atoms from Sc at (0.000, 0.000, 0.000), Ni at (0.000, 0.500, 0.500), As at (0.500, 0.500, 0.000) and I at (0.500, 0.500, 0.500).

[3]
Crystalline NiTeAsI2 at its relaxed geometry. Source: Alexandria, functional PBE.

As for the total energy: -2.479 eV per atom. Its energy relative to the lowest polymorph listed for this composition is 0.358 eV per atom. The total magnetization is 0.30 μB/atom. The calculation puts the formation energy (no corrections) at 4.3 eV/f.u. As for the calculated volume: 35.028 A^3/atom.

The space group is P4/mmm (No. 123) and the conventional cell measures 5.579, 5.579 and 5.627 Å, with angles of 90.00, 90.00 and 90.00 degrees. Symmetry generates all atoms from Ni at (0.000, 0.000, 0.000), Te at (0.500, 0.500, 0.000), As at (0.500, 0.500, 0.500) and I at (0.000, 0.500, 0.500).